Entry 1:
Density functional theory data (PBEsol) for a relaxed Ba3TcRh crystal.

Calculated values
Formation energy from the elements, eV/atom: 0.8994

Cell and atoms, written as CIF:
```
data_Ba3TcRh
_cell_length_a 5.5202
_cell_length_b 5.5202
_cell_length_c 5.5202
_cell_angle_alpha 90.00
_cell_angle_beta 90.00
_cell_angle_gamma 90.00
_symmetry_space_group_name_H-M 'P m -3 m'
_symmetry_Int_Tables_number 221
_symmetry_space_group_name_Hall '-P 4 2 3'
loop_
_atom_site_label
_atom_site_fract_x
_atom_site_fract_y
_atom_site_fract_z
Ba1 0.0000 0.0000 0.5000
Tc1 0.0000 0.0000 0.0000
Rh1 0.5000 0.5000 0.5000
```

=====

Entry 2:
Density functional theory data (PBEsol) for a relaxed Be3Pd crystal.

Calculated values
Formation energy from the elements, eV/atom: -0.3372

Cell and atoms, written as CIF:
```
data_Be3Pd
_cell_length_a 3.2953
_cell_length_b 3.2953
_cell_length_c 7.1434
_cell_angle_alpha 90.00
_cell_angle_beta 90.00
_cell_angle_gamma 90.00
_symmetry_space_group_name_H-M 'I 4/m m m'
_symmetry_Int_Tables_number 139
_symmetry_space_group_name_Hall '-I 4 2'
loop_
_atom_site_label
_atom_site_fract_x
_atom_site_fract_y
_atom_site_fract_z
Be1 0.0000 0.0000 0.0000
Be2 0.0000 0.5000 0.2500
Pd1 0.0000 0.0000 0.5000
```

=====

Entry 3:
Density functional theory data (PBEsol) for a relaxed Mg2TePdPt crystal.

Calculated values
Total DFT energy (no corrections), Ry per atom: -0.2753

Cell and atoms, written as CIF:
```
data_Mg2TePdPt
_cell_length_a 4.8181
_cell_length_b 4.8181
_cell_length_c 4.8923
_cell_angle_alpha 90.00
_cell_angle_beta 90.00
_cell_angle_gamma 90.00
_symmetry_space_group_name_H-M 'P 4/m m m'
_symmetry_Int_Tables_number 123
_symmetry_space_group_name_Hall '-P 4 2'
loop_
_atom_site_label
_atom_site_fract_x
_atom_site_fract_y
_atom_site_fract_z
Mg1 0.0000 0.5000 0.0000
Te1 0.0000 0.0000 0.5000
Pd1 0.0000 0.0000 0.0000
Pt1 0.5000 0.5000 0.5000
```

=====

Entry 4:
Density functional theory data (PBEsol) for a relaxed KMgCd crystal.

Calculated values
Formation energy from the elements, eV/atom: 0.2944

Cell and atoms, written as CIF:
```
data_KMgCd
_cell_length_a 7.5287
_cell_length_b 7.5287
_cell_length_c 7.5287
_cell_angle_alpha 90.00
_cell_angle_beta 90.00
_cell_angle_gamma 90.00
_symmetry_space_group_name_H-M 'F -4 3 m'
_symmetry_Int_Tables_number 216
_symmetry_space_group_name_Hall 'F -4 2 3'
loop_
_atom_site_label
_atom_site_fract_x
_atom_site_fract_y
_atom_site_fract_z
K1 0.0000 0.0000 0.0000
Mg1 0.2500 0.2500 0.2500
Cd1 0.0000 0.0000 0.5000
```

=====

Entry 5:
Density functional theory data (PBEsol) for a relaxed TePt2Cl crystal.

Calculated values
Polymorph energy (0 for the lowest one), meV per atom: 23

Cell and atoms, written as CIF:
```
data_TePt2Cl
_cell_length_a 3.6889
_cell_length_b 5.0205
_cell_length_c 8.3754
_cell_angle_alpha 90.00
_cell_angle_beta 90.00
_cell_angle_gamma 90.00
_symmetry_space_group_name_H-M 'C m m 2'
_symmetry_Int_Tables_number 35
loop_
_symmetry_equiv_pos_as_xyz
'x,y,z'
'-x,-y,z'
'-x,y,z'
'x,-y,z'
'x+1/2,y+1/2,z'
'-x+1/2,-y+1/2,z'
'-x+1/2,y+1/2,z'
'x+1/2,-y+1/2,z'
loop_
_atom_site_label
_atom_site_fract_x
_atom_site_fract_y
_atom_site_fract_z
Te1 0.0000 0.0000 0.0000
Pt1 0.0000 0.0000 0.4495
Pt2 0.0000 0.5000 0.2324
Cl1 0.0000 0.5000 0.6468
```

=====

Entry 6:
Density functional theory data (PBEsol) for a relaxed NbCrSCl2 crystal.

Calculated values
Polymorph energy (0 for the lowest one), meV per atom: 273

Cell and atoms, written as CIF:
```
data_NbCrSCl2
_cell_length_a 4.5636
_cell_length_b 4.5636
_cell_length_c 4.7843
_cell_angle_alpha 90.00
_cell_angle_beta 90.00
_cell_angle_gamma 90.00
_symmetry_space_group_name_H-M 'P 4/m m m'
_symmetry_Int_Tables_number 123
_symmetry_space_group_name_Hall '-P 4 2'
loop_
_atom_site_label
_atom_site_fract_x
_atom_site_fract_y
_atom_site_fract_z
Nb1 0.0000 0.0000 0.0000
Cr1 0.5000 0.5000 0.5000
S1 0.5000 0.5000 0.0000
Cl1 0.0000 0.5000 0.5000
```

=====

Entry 7:
Density functional theory data (PBEsol) for a relaxed ZnPtCl2 crystal.

Calculated values
Polymorph energy (0 for the lowest one), meV per atom: 295

Cell and atoms, written as CIF:
```
data_ZnPtCl2
_cell_length_a 3.5176
_cell_length_b 3.5176
_cell_length_c 11.6279
_cell_angle_alpha 90.00
_cell_angle_beta 90.00
_cell_angle_gamma 90.00
_symmetry_space_group_name_H-M 'I -4 m 2'
_symmetry_Int_Tables_number 119
_symmetry_space_group_name_Hall 'I -4 -2'
loop_
_atom_site_label
_atom_site_fract_x
_atom_site_fract_y
_atom_site_fract_z
Zn1 0.0000 0.0000 0.0000
Pt1 0.0000 0.5000 0.7500
Cl1 0.0000 0.0000 0.5000
Cl2 0.0000 0.5000 0.2500
```

=====

Entry 8:
Density functional theory data (PBEsol) for a relaxed CsH2CO3 crystal.

Calculated values
Total DFT energy (no corrections), Ry per atom: -0.4448

Cell and atoms, written as CIF:
```
data_CsH2CO3
_cell_length_a 6.0623
_cell_length_b 10.7998
_cell_length_c 6.1588
_cell_angle_alpha 90.00
_cell_angle_beta 110.19
_cell_angle_gamma 90.00
_symmetry_space_group_name_H-M 'P 1 21/c 1'
_symmetry_Int_Tables_number 14
loop_
_symmetry_equiv_pos_as_xyz
'x,y,z'
'-x,-y,-z'
'-x,y+1/2,-z+1/2'
'x,-y+1/2,z+1/2'
loop_
_atom_site_label
_atom_site_fract_x
_atom_site_fract_y
_atom_site_fract_z
Cs1 0.1119 0.1122 0.2988
H1 0.3421 0.6411 0.8834
H2 0.3476 0.7379 0.0791
C1 0.4743 0.0608 0.9265
O1 0.2710 0.1055 0.8633
O2 0.3241 0.6479 0.0381
O3 0.3503 0.6067 0.6169
```

=====

Entry 9:
Density functional theory data (PBEsol) for a relaxed MgVAs2O7 crystal.

Calculated values
Total DFT energy (no corrections), Ry per atom: -0.5193

Cell and atoms, written as CIF:
```
data_MgVAs2O7
_cell_length_a 7.7730
_cell_length_b 8.0406
_cell_length_c 10.5409
_cell_angle_alpha 90.00
_cell_angle_beta 121.67
_cell_angle_gamma 90.00
_symmetry_space_group_name_H-M 'P 1 21/c 1'
_symmetry_Int_Tables_number 14
loop_
_symmetry_equiv_pos_as_xyz
'x,y,z'
'-x,-y,-z'
'-x,y+1/2,-z+1/2'
'x,-y+1/2,z+1/2'
loop_
_atom_site_label
_atom_site_fract_x
_atom_site_fract_y
_atom_site_fract_z
Mg1 0.2299 0.0749 0.1196
V1 0.3140 0.0509 0.7015
As1 0.0303 0.7245 0.7313
As2 0.4574 0.7190 0.0268
O1 0.0182 0.5764 0.6118
O2 0.1358 0.5954 0.2149
O3 0.1805 0.6681 0.9182
O4 0.1949 0.2471 0.7777
O5 0.2584 0.1863 0.5677
O6 0.4415 0.5892 0.6147
O7 0.4927 0.5868 0.1761
```

=====

Entry 10:
Density functional theory data (PBEsol) for a relaxed SnPtF2 crystal.

Calculated values
Polymorph energy (0 for the lowest one), meV per atom: 0

Cell and atoms, written as CIF:
```
data_SnPtF2
_cell_length_a 2.9626
_cell_length_b 2.9626
_cell_length_c 23.8879
_cell_angle_alpha 90.00
_cell_angle_beta 90.00
_cell_angle_gamma 120.00
_symmetry_space_group_name_H-M 'R -3 m'
_symmetry_Int_Tables_number 166
_symmetry_space_group_name_Hall '-R 3 2"'
loop_
_atom_site_label
_atom_site_fract_x
_atom_site_fract_y
_atom_site_fract_z
Sn1 0.0000 0.0000 0.0000
Pt1 0.0000 0.0000 0.5000
F1 0.0000 0.0000 0.4163
```

=====

Entry 11:
Density functional theory data (PBEsol) for a relaxed BeSi2Cl crystal.

Calculated values
Polymorph energy (0 for the lowest one), meV per atom: 0

Cell and atoms, written as CIF:
```
data_BeSi2Cl
_cell_length_a 2.8793
_cell_length_b 2.8793
_cell_length_c 6.8946
_cell_angle_alpha 90.00
_cell_angle_beta 90.00
_cell_angle_gamma 90.00
_symmetry_space_group_name_H-M 'P 4/m m m'
_symmetry_Int_Tables_number 123
_symmetry_space_group_name_Hall '-P 4 2'
loop_
_atom_site_label
_atom_site_fract_x
_atom_site_fract_y
_atom_site_fract_z
Be1 0.0000 0.0000 0.0000
Si1 0.5000 0.5000 0.2073
Cl1 0.0000 0.0000 0.5000
```

=====

Entry 12:
Density functional theory data (PBEsol) for a relaxed Pr4CdPt crystal.

Calculated values
Formation energy from the elements, eV/atom: -0.5097

Cell and atoms, written as CIF:
```
data_Pr4CdPt
_cell_length_a 14.0114
_cell_length_b 14.0114
_cell_length_c 14.0114
_cell_angle_alpha 90.00
_cell_angle_beta 90.00
_cell_angle_gamma 90.00
_symmetry_space_group_name_H-M 'F -4 3 m'
_symmetry_Int_Tables_number 216
_symmetry_space_group_name_Hall 'F -4 2 3'
loop_
_atom_site_label
_atom_site_fract_x
_atom_site_fract_y
_atom_site_fract_z
Pr1 0.0000 0.0000 0.1870
Pr2 0.0566 0.2500 0.2500
Pr3 0.1009 0.1009 0.6009
Cd1 0.1706 0.1706 0.8294
Pt1 0.1068 0.1068 0.3932
```